#A
This record from the Alexandria database describes a relaxed structure of SmAg3Hg3. The functional is PBE.

The structure in extended XYZ format:
```
14
Lattice="7.547 0.000 0.000 0.000 7.547 0.000 0.000 0.000 7.547" Properties=species:S:1:pos:R:3 pbc="T T T"
Sm 0.000 0.000 0.000
Sm 3.774 3.774 3.774
Ag 0.000 1.887 3.774
Ag 0.000 5.660 3.774
Ag 1.887 3.774 0.000
Ag 3.774 0.000 1.887
Ag 3.774 0.000 5.660
Ag 5.660 3.774 0.000
Hg 0.000 3.774 1.887
Hg 0.000 3.774 5.660
Hg 1.887 0.000 3.774
Hg 3.774 1.887 0.000
Hg 3.774 5.660 0.000
Hg 5.660 0.000 3.774
```



#B
This record from the Alexandria database describes a relaxed structure of SmAg3Hg3. The functional is PBE.

The structure in extended XYZ format:
```
14
Lattice="3.786 2.186 6.531 -3.786 2.186 6.531 0.000 -4.371 6.531" Properties=species:S:1:pos:R:3 pbc="T T T"
Sm 0.000 0.000 3.162
Sm 0.000 0.000 16.431
Ag -2.150 0.479 5.655
Ag 0.660 -2.102 5.655
Ag -1.490 -1.622 13.938
Ag 1.490 1.622 5.655
Ag -0.660 2.102 13.938
Ag 2.150 -0.479 13.938
Hg -1.805 -0.004 8.521
Hg -0.899 -1.566 11.072
Hg 0.906 -1.561 8.521
Hg -0.906 1.561 11.072
Hg 0.899 1.566 8.521
Hg 1.805 0.004 11.072
```



We find #B to be the most stable, with the next structure 0.541 eV/atom higher.